Record 1
VASP calculation (GGA-PBE) on a relaxed structure of U3Cd2S8.

The structure in CIF format:
```
data_U3Cd2S8
_chemical_formula_sum 'U3 Cd2 S8'
_cell_length_a 7.353
_cell_length_b 7.353
_cell_length_c 6.946
_cell_angle_alpha 95.92
_cell_angle_beta 95.92
_cell_angle_gamma 64.72
_symmetry_space_group_name_H-M 'P 1'
_symmetry_Int_Tables_number 1
_symmetry_space_group_name_Hall 'P 1'
loop_
_atom_site_label
_atom_site_fract_x
_atom_site_fract_y
_atom_site_fract_z
U1 0.000 0.000 0.000
U2 0.251 0.749 0.500
U3 0.749 0.251 0.500
Cd1 0.286 0.286 0.932
Cd2 0.714 0.714 0.068
S1 0.112 0.112 0.351
S2 0.117 0.638 0.146
S3 0.362 0.883 0.854
S4 0.384 0.384 0.624
S5 0.616 0.616 0.376
S6 0.638 0.117 0.146
S7 0.883 0.362 0.854
S8 0.888 0.888 0.649
```

Calculated values
* total energy: -82.646 eV per formula unit
* N(E_F): 15.9 states/eV per cell
* E_form (uncorrected): -1.072 eV per atom

=====

Record 2
VASP calculation (GGA-PBE) on a relaxed structure of SmDyCl.

The structure in CIF format:
```
data_SmDyCl
_chemical_formula_sum 'Sm1 Dy1 Cl1'
_cell_length_a 3.707
_cell_length_b 3.707
_cell_length_c 7.092
_cell_angle_alpha 90.00
_cell_angle_beta 90.00
_cell_angle_gamma 120.00
_symmetry_space_group_name_H-M 'P 1'
_symmetry_Int_Tables_number 1
_symmetry_space_group_name_Hall 'P 1'
loop_
_atom_site_label
_atom_site_fract_x
_atom_site_fract_y
_atom_site_fract_z
Sm1 0.000 0.000 0.000
Dy1 0.333 0.667 0.617
Cl1 0.667 0.333 0.318
```

Calculated values
* total energy: -13.872 eV per formula unit
* N(E_F): 3.4 states/eV per cell
* E_form (uncorrected): -0.901 eV per atom

=====

Record 3
VASP calculation (GGA-PBE) on a relaxed structure of ZnInW3.

The structure in CIF format:
```
data_ZnInW3
_chemical_formula_sum 'Zn1 In1 W3'
_cell_length_a 4.595
_cell_length_b 4.595
_cell_length_c 4.595
_cell_angle_alpha 90.00
_cell_angle_beta 90.00
_cell_angle_gamma 90.00
_symmetry_space_group_name_H-M 'P 1'
_symmetry_Int_Tables_number 1
_symmetry_space_group_name_Hall 'P 1'
loop_
_atom_site_label
_atom_site_fract_x
_atom_site_fract_y
_atom_site_fract_z
Zn1 0.000 0.000 0.000
In1 0.500 0.500 0.500
W1 0.000 0.000 0.500
W2 0.000 0.500 0.000
W3 0.500 0.000 0.000
```

Calculated values
* total energy: -33.703 eV per formula unit
* energy above the lowest structure with this stoichiometry: 0.0000 eV per atom
* energy of formation: 1.834 eV/atom
* N(E_F): 6.6 states/eV per cell

=====

Record 4
VASP calculation (GGA-PBE) on a relaxed structure of Ho6Tm12Sn.

The structure in CIF format:
```
data_Ho6Tm12Sn
_chemical_formula_sum 'Ho6 Tm12 Sn1'
_cell_length_a 8.337
_cell_length_b 8.337
_cell_length_c 8.337
_cell_angle_alpha 88.63
_cell_angle_beta 88.63
_cell_angle_gamma 88.63
_symmetry_space_group_name_H-M 'P 1'
_symmetry_Int_Tables_number 1
_symmetry_space_group_name_Hall 'P 1'
loop_
_atom_site_label
_atom_site_fract_x
_atom_site_fract_y
_atom_site_fract_z
Ho1 0.198 0.757 0.593
Ho2 0.243 0.407 0.802
Ho3 0.407 0.802 0.243
Ho4 0.593 0.198 0.757
Ho5 0.757 0.593 0.198
Ho6 0.802 0.243 0.407
Tm1 0.042 0.933 0.277
Tm2 0.067 0.723 0.958
Tm3 0.139 0.490 0.308
Tm4 0.277 0.042 0.933
Tm5 0.308 0.139 0.490
Tm6 0.490 0.308 0.139
Tm7 0.510 0.692 0.861
Tm8 0.692 0.861 0.510
Tm9 0.723 0.958 0.067
Tm10 0.861 0.510 0.692
Tm11 0.933 0.277 0.042
Tm12 0.958 0.067 0.723
Sn1 0.500 0.500 0.500
```

Calculated values
* total energy: -84.304 eV per formula unit
* energy of formation: 0.043 eV/atom
* N(E_F): 25.1 states/eV per cell

=====

Record 5
VASP calculation (GGA-PBE) on a relaxed structure of CaTa2Mo.

The structure in CIF format:
```
data_CaTa2Mo
_chemical_formula_sum 'Ca2 Ta4 Mo2'
_cell_length_a 3.369
_cell_length_b 4.776
_cell_length_c 10.022
_cell_angle_alpha 90.00
_cell_angle_beta 90.00
_cell_angle_gamma 90.00
_symmetry_space_group_name_H-M 'P 1'
_symmetry_Int_Tables_number 1
_symmetry_space_group_name_Hall 'P 1'
loop_
_atom_site_label
_atom_site_fract_x
_atom_site_fract_y
_atom_site_fract_z
Ca1 0.000 0.000 0.000
Ca2 0.500 0.500 0.500
Ta1 0.000 0.000 0.439
Ta2 0.000 0.500 0.228
Ta3 0.500 0.000 0.728
Ta4 0.500 0.500 0.939
Mo1 0.000 0.500 0.747
Mo2 0.500 0.000 0.247
```

Calculated values
* total energy: -34.228 eV per formula unit
* energy of formation: 0.578 eV/atom
* N(E_F): 6.1 states/eV per cell

=====

Record 6
VASP calculation (GGA-PBE) on a relaxed structure of InFePb2.

The structure in CIF format:
```
data_InFePb2
_chemical_formula_sum 'In3 Fe3 Pb6'
_cell_length_a 3.554
_cell_length_b 3.554
_cell_length_c 27.796
_cell_angle_alpha 90.00
_cell_angle_beta 90.00
_cell_angle_gamma 120.00
_symmetry_space_group_name_H-M 'P 1'
_symmetry_Int_Tables_number 1
_symmetry_space_group_name_Hall 'P 1'
loop_
_atom_site_label
_atom_site_fract_x
_atom_site_fract_y
_atom_site_fract_z
In1 0.000 0.000 0.000
In2 0.333 0.667 0.667
In3 0.667 0.333 0.333
Fe1 0.000 0.000 0.500
Fe2 0.333 0.667 0.167
Fe3 0.667 0.333 0.833
Pb1 0.000 0.000 0.235
Pb2 0.000 0.000 0.765
Pb3 0.333 0.667 0.432
Pb4 0.333 0.667 0.901
Pb5 0.667 0.333 0.099
Pb6 0.667 0.333 0.568
```

Calculated values
* total energy: -17.099 eV per formula unit
* energy above the lowest structure with this stoichiometry: 0.1051 eV per atom
* energy of formation: 0.380 eV/atom
* N(E_F): 6.1 states/eV per cell

=====

Record 7
VASP calculation (GGA-PBE) on a relaxed structure of CaInCu.

The structure in CIF format:
```
data_CaInCu
_chemical_formula_sum 'Ca4 In4 Cu4'
_cell_length_a 6.646
_cell_length_b 6.492
_cell_length_c 8.212
_cell_angle_alpha 90.00
_cell_angle_beta 124.97
_cell_angle_gamma 90.00
_symmetry_space_group_name_H-M 'P 1'
_symmetry_Int_Tables_number 1
_symmetry_space_group_name_Hall 'P 1'
loop_
_atom_site_label
_atom_site_fract_x
_atom_site_fract_y
_atom_site_fract_z
Ca1 0.212 0.143 0.422
Ca2 0.212 0.357 0.922
Ca3 0.788 0.643 0.078
Ca4 0.788 0.857 0.578
In1 0.233 0.636 0.572
In2 0.233 0.864 0.072
In3 0.767 0.136 0.928
In4 0.767 0.364 0.428
Cu1 0.362 0.571 0.326
Cu2 0.362 0.929 0.826
Cu3 0.638 0.071 0.174
Cu4 0.638 0.429 0.674
```

Calculated values
* total energy: -9.601 eV per formula unit
* energy of formation: -0.255 eV/atom
* N(E_F): 6.6 states/eV per cell

=====

Record 8
VASP calculation (GGA-PBE) on a relaxed structure of CoAsSe2Cl.

The structure in CIF format:
```
data_CoAsSe2Cl
_chemical_formula_sum 'Co1 As1 Se2 Cl1'
_cell_length_a 4.582
_cell_length_b 4.582
_cell_length_c 4.984
_cell_angle_alpha 90.00
_cell_angle_beta 90.00
_cell_angle_gamma 90.00
_symmetry_space_group_name_H-M 'P 1'
_symmetry_Int_Tables_number 1
_symmetry_space_group_name_Hall 'P 1'
loop_
_atom_site_label
_atom_site_fract_x
_atom_site_fract_y
_atom_site_fract_z
Co1 0.000 0.000 0.000
As1 0.000 0.000 0.500
Se1 0.000 0.500 0.000
Se2 0.500 0.000 0.000
Cl1 0.500 0.500 0.500
```

Calculated values
* total energy: -18.618 eV per formula unit
* energy above the lowest structure with this stoichiometry: 0.0000 eV per atom
* N(E_F): 6.4 states/eV per cell
* E_form (uncorrected): 0.391 eV per atom

=====

Record 9
VASP calculation (GGA-PBE) on a relaxed structure of Tb3ErTm3.

The structure in CIF format:
```
data_Tb3ErTm3
_chemical_formula_sum 'Tb6 Er2 Tm6'
_cell_length_a 9.481
_cell_length_b 9.481
_cell_length_c 5.597
_cell_angle_alpha 90.00
_cell_angle_beta 90.00
_cell_angle_gamma 120.00
_symmetry_space_group_name_H-M 'P 1'
_symmetry_Int_Tables_number 1
_symmetry_space_group_name_Hall 'P 1'
loop_
_atom_site_label
_atom_site_fract_x
_atom_site_fract_y
_atom_site_fract_z
Tb1 0.048 0.240 0.250
Tb2 0.192 0.952 0.250
Tb3 0.240 0.192 0.750
Tb4 0.760 0.808 0.250
Tb5 0.808 0.048 0.750
Tb6 0.952 0.760 0.750
Er1 0.333 0.667 0.250
Er2 0.667 0.333 0.750
Tm1 0.095 0.477 0.750
Tm2 0.382 0.905 0.750
Tm3 0.477 0.382 0.250
Tm4 0.523 0.618 0.750
Tm5 0.618 0.095 0.250
Tm6 0.905 0.523 0.250
```

Calculated values
* total energy: -31.822 eV per formula unit
* energy above the lowest structure with this stoichiometry: 0.0000 eV per atom
* energy of formation: 0.007 eV/atom
* N(E_F): 28.2 states/eV per cell

=====

Record 10
VASP calculation (GGA-PBE) on a relaxed structure of Ho2ScUN4.

The structure in CIF format:
```
data_Ho2ScUN4
_chemical_formula_sum 'Ho2 Sc1 U1 N4'
_cell_length_a 5.820
_cell_length_b 3.395
_cell_length_c 5.860
_cell_angle_alpha 90.00
_cell_angle_beta 108.71
_cell_angle_gamma 90.00
_symmetry_space_group_name_H-M 'P 1'
_symmetry_Int_Tables_number 1
_symmetry_space_group_name_Hall 'P 1'
loop_
_atom_site_label
_atom_site_fract_x
_atom_site_fract_y
_atom_site_fract_z
Ho1 0.000 0.000 0.000
Ho2 0.500 0.500 0.000
Sc1 0.000 0.500 0.500
U1 0.500 0.000 0.500
N1 0.251 0.000 0.730
N2 0.251 0.500 0.264
N3 0.749 0.000 0.270
N4 0.749 0.500 0.736
```

Calculated values
* total energy: -73.406 eV per formula unit
* N(E_F): 4.8 states/eV per cell
* E_form (uncorrected): -1.666 eV per atom

=====

Record 11
VASP calculation (GGA-PBE) on a relaxed structure of Rb3Cd2Ag.

The structure in CIF format:
```
data_Rb3Cd2Ag
_chemical_formula_sum 'Rb6 Cd4 Ag2'
_cell_length_a 8.155
_cell_length_b 8.155
_cell_length_c 8.750
_cell_angle_alpha 99.79
_cell_angle_beta 99.79
_cell_angle_gamma 86.02
_symmetry_space_group_name_H-M 'P 1'
_symmetry_Int_Tables_number 1
_symmetry_space_group_name_Hall 'P 1'
loop_
_atom_site_label
_atom_site_fract_x
_atom_site_fract_y
_atom_site_fract_z
Rb1 0.121 0.879 0.750
Rb2 0.253 0.392 0.012
Rb3 0.392 0.253 0.512
Rb4 0.608 0.747 0.488
Rb5 0.747 0.608 0.988
Rb6 0.879 0.121 0.250
Cd1 0.041 0.572 0.372
Cd2 0.428 0.959 0.128
Cd3 0.572 0.041 0.872
Cd4 0.959 0.428 0.628
Ag1 0.201 0.799 0.250
Ag2 0.799 0.201 0.750
```

Calculated values
* total energy: -7.611 eV per formula unit
* energy of formation: -0.005 eV/atom
* N(E_F): 6.2 states/eV per cell

=====

Record 12
VASP calculation (GGA-PBE) on a relaxed structure of KS3Br.

The structure in CIF format:
```
data_KS3Br
_chemical_formula_sum 'K2 S6 Br2'
_cell_length_a 4.488
_cell_length_b 8.832
_cell_length_c 8.985
_cell_angle_alpha 64.27
_cell_angle_beta 88.45
_cell_angle_gamma 85.55
_symmetry_space_group_name_H-M 'P 1'
_symmetry_Int_Tables_number 1
_symmetry_space_group_name_Hall 'P 1'
loop_
_atom_site_label
_atom_site_fract_x
_atom_site_fract_y
_atom_site_fract_z
K1 0.225 0.119 0.132
K2 0.775 0.881 0.868
S1 0.038 0.634 0.651
S2 0.292 0.284 0.531
S3 0.352 0.818 0.559
S4 0.648 0.182 0.441
S5 0.708 0.716 0.469
S6 0.962 0.366 0.349
Br1 0.281 0.747 0.140
Br2 0.719 0.253 0.860
```

Calculated values
* total energy: -18.053 eV per formula unit
* energy above the lowest structure with this stoichiometry: 0.0000 eV per atom
* N(E_F): 0.0 states/eV per cell
* E_form (uncorrected): -0.580 eV per atom

=====

- What is the formula in the tenth record?
  Ho2ScUN4

=====

Repeat the second record exactly.
VASP calculation (GGA-PBE) on a relaxed structure of SmDyCl.

The structure in CIF format:
```
data_SmDyCl
_chemical_formula_sum 'Sm1 Dy1 Cl1'
_cell_length_a 3.707
_cell_length_b 3.707
_cell_length_c 7.092
_cell_angle_alpha 90.00
_cell_angle_beta 90.00
_cell_angle_gamma 120.00
_symmetry_space_group_name_H-M 'P 1'
_symmetry_Int_Tables_number 1
_symmetry_space_group_name_Hall 'P 1'
loop_
_atom_site_label
_atom_site_fract_x
_atom_site_fract_y
_atom_site_fract_z
Sm1 0.000 0.000 0.000
Dy1 0.333 0.667 0.617
Cl1 0.667 0.333 0.318
```

Calculated values
* total energy: -13.872 eV per formula unit
* N(E_F): 3.4 states/eV per cell
* E_form (uncorrected): -0.901 eV per atom

=====

- The lowest total energy belongs to which entry?
  Ho6Tm12Sn

=====

- Number 3 is which compound?
  ZnInW3